# HfPaCu PBE relaxed
data_HfPaCu
_chemical_formula_sum 'Hf1 Pa1 Cu1'
_symmetry_space_group_name_H-M 'P 3 m 1'
_symmetry_Int_Tables_number 156
_cell_length_a 4.7934
_cell_length_b 4.7934
_cell_length_c 3.1011
_cell_angle_alpha 90.00
_cell_angle_beta 90.00
_cell_angle_gamma 120.00
loop_
_symmetry_equiv_pos_as_xyz
'x,y,z'
'-y,x-y,z'
'-x+y,-x,z'
'-y,-x,z'
'-x+y,y,z'
'x,x-y,z'
loop_
_atom_site_label
_atom_site_fract_x
_atom_site_fract_y
_atom_site_fract_z
_atom_site_occupancy
Hf1 0.0000 0.0000 0.0000 1
Pa1 0.3333 0.6667 0.4618 1
Cu1 0.6667 0.3333 0.8319 1
# Magnetic moment: 0.0 μB/cell
# VASP energy: -22.79 eV per formula unit

# Ag2HgIr PBE relaxed
data_Ag2HgIr
_chemical_formula_sum 'Ag2 Hg1 Ir1'
_symmetry_space_group_name_H-M 'P 4/m m m'
_symmetry_Int_Tables_number 123
_symmetry_space_group_name_Hall '-P 4 2'
_cell_length_a 2.848
_cell_length_b 2.848
_cell_length_c 8.821
_cell_angle_alpha 90.00
_cell_angle_beta 90.00
_cell_angle_gamma 90.00
loop_
_atom_site_label
_atom_site_fract_x
_atom_site_fract_y
_atom_site_fract_z
_atom_site_occupancy
Ag1 0.000 0.000 0.232 1
Hg1 0.500 0.500 0.500 1
Ir1 0.500 0.500 0.000 1
# Magnetic moment: 0.3 μB/cell
# VASP energy: -13.37 eV per formula unit

# MgCdGaBi PBE relaxed
data_MgCdGaBi
_chemical_formula_sum 'Mg4 Cd4 Ga4 Bi4'
_symmetry_space_group_name_H-M 'F -4 3 m'
_symmetry_Int_Tables_number 216
_symmetry_space_group_name_Hall 'F -4 2 3'
_cell_length_a 7.384
_cell_length_b 7.384
_cell_length_c 7.384
_cell_angle_alpha 90.00
_cell_angle_beta 90.00
_cell_angle_gamma 90.00
loop_
_atom_site_label
_atom_site_fract_x
_atom_site_fract_y
_atom_site_fract_z
_atom_site_occupancy
Mg1 0.000 0.000 0.000 1
Cd1 0.250 0.250 0.750 1
Ga1 0.000 0.000 0.500 1
Bi1 0.250 0.250 0.250 1
# Magnetic moment: 0.0 μB/cell
# VASP energy: -9.42 eV per formula unit

# LuThCo PBE relaxed
data_LuThCo
_chemical_formula_sum 'Lu1 Th1 Co1'
_symmetry_space_group_name_H-M 'P 3 m 1'
_symmetry_Int_Tables_number 156
_cell_length_a 3.8295
_cell_length_b 3.8295
_cell_length_c 6.0696
_cell_angle_alpha 90.00
_cell_angle_beta 90.00
_cell_angle_gamma 120.00
loop_
_symmetry_equiv_pos_as_xyz
'x,y,z'
'-y,x-y,z'
'-x+y,-x,z'
'-y,-x,z'
'-x+y,y,z'
'x,x-y,z'
loop_
_atom_site_label
_atom_site_fract_x
_atom_site_fract_y
_atom_site_fract_z
_atom_site_occupancy
Lu1 0.0000 0.0000 0.0000 1
Th1 0.6667 0.3333 0.4928 1
Co1 0.3333 0.6667 0.2552 1
# Magnetic moment: 0.0 μB/cell
# VASP energy: -19.43 eV per formula unit

# La4TbTl PBE relaxed
data_La4TbTl
_chemical_formula_sum 'La16 Tb4 Tl4'
_symmetry_space_group_name_H-M 'C m c 21'
_symmetry_Int_Tables_number 36
_cell_length_a 5.828
_cell_length_b 21.483
_cell_length_c 6.501
_cell_angle_alpha 90.00
_cell_angle_beta 90.00
_cell_angle_gamma 90.00
loop_
_symmetry_equiv_pos_as_xyz
'x,y,z'
'-x,-y,z+1/2'
'-x,y,z'
'x,-y,z+1/2'
'x+1/2,y+1/2,z'
'-x+1/2,-y+1/2,z+1/2'
'-x+1/2,y+1/2,z'
'x+1/2,-y+1/2,z+1/2'
loop_
_atom_site_label
_atom_site_fract_x
_atom_site_fract_y
_atom_site_fract_z
_atom_site_occupancy
La1 0.000 0.049 0.000 1
La2 0.000 0.192 0.882 1
La3 0.000 0.254 0.305 1
La4 0.000 0.442 0.212 1
Tb1 0.000 0.365 0.734 1
Tl1 0.000 0.104 0.471 1
# Magnetic moment: 0.0 μB/cell
# VASP energy: -26.96 eV per formula unit

# BeCo2Cu PBE relaxed
data_BeCo2Cu
_chemical_formula_sum 'Be2 Co4 Cu2'
_symmetry_space_group_name_H-M 'I 4/m m m'
_symmetry_Int_Tables_number 139
_symmetry_space_group_name_Hall '-I 4 2'
_cell_length_a 3.417
_cell_length_b 3.417
_cell_length_c 7.184
_cell_angle_alpha 90.00
_cell_angle_beta 90.00
_cell_angle_gamma 90.00
loop_
_atom_site_label
_atom_site_fract_x
_atom_site_fract_y
_atom_site_fract_z
_atom_site_occupancy
Be1 0.000 0.000 0.000 1
Co1 0.000 0.500 0.250 1
Cu1 0.000 0.000 0.500 1
# Magnetic moment: 5.8 μB/cell
# VASP energy: -21.81 eV per formula unit

# KPt2 PBE relaxed
data_KPt2
_chemical_formula_sum 'K4 Pt8'
_symmetry_space_group_name_H-M 'C 1 m 1'
_symmetry_Int_Tables_number 8
_cell_length_a 12.112
_cell_length_b 2.779
_cell_length_c 8.904
_cell_angle_alpha 90.00
_cell_angle_beta 110.73
_cell_angle_gamma 90.00
loop_
_symmetry_equiv_pos_as_xyz
'x,y,z'
'x,-y,z'
'x+1/2,y+1/2,z'
'x+1/2,-y+1/2,z'
loop_
_atom_site_label
_atom_site_fract_x
_atom_site_fract_y
_atom_site_fract_z
_atom_site_occupancy
K1 0.000 0.000 0.000 1
K2 0.000 0.500 0.499 1
Pt1 0.229 0.000 0.367 1
Pt2 0.239 0.000 0.870 1
Pt3 0.261 0.500 0.132 1
Pt4 0.270 0.500 0.635 1
# Magnetic moment: 0.0 μB/cell
# VASP energy: -13.64 eV per formula unit

# EuHgI2 PBE relaxed
data_EuHgI2
_chemical_formula_sum 'Eu4 Hg4 I8'
_symmetry_space_group_name_H-M 'F m -3 m'
_symmetry_Int_Tables_number 225
_symmetry_space_group_name_Hall '-F 4 2 3'
_cell_length_a 8.270
_cell_length_b 8.270
_cell_length_c 8.270
_cell_angle_alpha 90.00
_cell_angle_beta 90.00
_cell_angle_gamma 90.00
loop_
_atom_site_label
_atom_site_fract_x
_atom_site_fract_y
_atom_site_fract_z
_atom_site_occupancy
Eu1 0.000 0.000 0.000 1
Hg1 0.000 0.000 0.500 1
I1 0.250 0.250 0.250 1
# Magnetic moment: 28.0 μB/cell
# VASP energy: -17.78 eV per formula unit